# MnCd2Cu

Crystalline MnCd2Cu at its relaxed geometry (GGA-PBE, Alexandria via LeMat-Bulk).

Results
- total magnetic moment (μB/f.u.) = 3.6
- total DFT energy (no corrections) (eV/atom) = -3.561
- energy above the lowest structure with this stoichiometry (eV/atom) = 0.0733

Unit cell a=6.2890 b=6.8080 c=3.2180 alpha=90.00 beta=90.00 gamma=90.00
Space group Cmmm (No. 65)
One atom of each set of equivalent atoms:
Mn  0.0000  0.0000  0.0000 (multiplicity 2)
Cd  0.2500  0.2500  0.5000 (multiplicity 4)
Cu  0.0000  0.5000  0.0000 (multiplicity 2)